A plane-wave DFT calculation with PBE was carried out for a geometry-optimized LuSb2Pb structure.

a b c (Å): 5.406 5.406 5.406
angles (deg): 60.00 60.00 60.00
Element x y z (fractional)
1 Lu 0.500 0.500 0.500
2 Sb 0.250 0.250 0.250
3 Sb 0.000 0.000 0.000
4 Pb 0.750 0.750 0.750

Calculated values
total DFT energy (no corrections) = -4.173 eV per atom